Entry 1:
CsK2Al after structural relaxation. Source: the Alexandria database, functional GGA-PBE.

Geometry as POSCAR:
```
CsK2Al
1.0
-0.2441 2.4387 3.8340
-4.2316 -1.5210 0.6981
4.0476 -8.6249 5.7438
Cs K Al
1 2 1
Cartesian
-0.1105 -4.0741 5.2848
3.5944 -7.6592 5.1006
-1.5961 -0.9086 3.1767
1.2595 -2.6838 1.7873
```

Computed properties:
For the size of the total moment, the calculation gives 0.39 μB per formula unit. As for the symmetry: No. 99. As for the energy of formation: 1.180 eV/f.u.

---

Entry 2:
LiSbCSO7 after structural relaxation. Source: the Alexandria database, functional GGA-PBE.

Geometry as POSCAR:
```
LiSbCSO7
1.0
-4.0977 4.6897 2.4805
-3.9169 -1.8017 -3.0642
-3.2048 -6.2158 6.4574
Li Sb C S O
2 2 2 2 14
Cartesian
-5.8021 -3.3684 5.6585
-7.3834 2.2907 1.4054
-8.2127 -2.0167 3.4269
-2.8231 -1.5213 2.3357
-9.0477 -3.5623 5.2861
-2.1312 0.1881 0.5631
-5.8963 -3.9483 2.3986
-5.3889 0.6957 3.5149
-5.1440 -5.0437 6.3183
-5.6824 -1.6153 7.1094
-7.8397 -2.9864 5.3260
-5.5961 -5.3792 2.1554
-7.4168 -3.8493 2.4655
-5.6903 -0.3131 4.6043
-5.3100 -3.4177 3.6246
-6.5454 0.8178 2.6341
-5.4500 -3.1051 1.2216
-5.1196 2.0288 4.2055
-4.1309 0.3434 2.8149
-2.9471 -0.8366 0.2859
-5.4716 -1.7873 -1.2752
-6.4152 2.1049 -0.2388
```

Computed properties:
For the size of the total moment, the calculation gives 0.00 μB per formula unit. The value obtained for the total energy is -0.469 Ry/atom. As for the symmetry: No. 4.

---

Entry 3:
YMgScCo after structural relaxation. Source: the Alexandria database, functional GGA-PBE.

Geometry as POSCAR:
```
YMgScCo
1.0
3.2994 0.0000 0.0000
0.0000 3.2994 0.0000
0.0000 0.0000 7.8480
Y Mg Sc Co
1 1 1 1
Cartesian
1.6497 1.6497 6.0683
0.0000 0.0000 0.7126
1.6497 1.6497 2.9244
0.0000 0.0000 4.3011
```

Computed properties:
For the size of the total moment, the calculation gives 0.64 μB per formula unit. As for the symmetry: No. 99. As for the energy of formation: -0.679 eV/f.u.

---

Entry 4:
CsNaAs2Se after structural relaxation. Source: the Alexandria database, functional GGA-PBE.

Geometry as POSCAR:
```
CsNaAs2Se
1.0
6.0641 0.0000 0.0000
0.0000 6.0641 0.0000
0.0000 0.0000 6.2107
Cs Na As Se
1 1 2 1
Cartesian
0.0000 0.0000 0.0000
3.0321 3.0321 3.1054
0.0000 3.0321 0.0000
3.0321 0.0000 0.0000
0.0000 0.0000 3.1054
```

Computed properties:
For the size of the total moment, the calculation gives 3.15 μB per formula unit. The value obtained for the total energy is -0.147 Ry/atom. As for the symmetry: No. 123.

---

Entry 5:
Ag2GeF5 after structural relaxation. Source: the Alexandria database, functional GGA-PBE.

Geometry as POSCAR:
```
Ag2GeF5
1.0
7.4166 -0.2911 0.6826
-0.3949 7.8597 -0.5390
-3.3266 -4.0659 2.2920
Ag Ge F
2 1 5
Cartesian
0.0454 4.6456 1.0621
3.3809 -0.8197 1.5333
3.7218 3.4777 2.2589
2.8885 -3.0932 2.3489
0.9946 1.1765 0.6688
6.1842 -1.2565 1.3106
-2.4561 2.4504 1.9407
4.0288 3.1984 0.5395
```

Computed properties:
For the size of the total moment, the calculation gives 0.00 μB per formula unit. The value obtained for the total energy is -0.298 Ry/atom. As for the symmetry: No. 1.

---

Entry 6:
Ba2CeAs2I2 after structural relaxation. Source: the Alexandria database, functional GGA-PBE.

Geometry as POSCAR:
```
Ba2CeAs2I2
1.0
5.6011 0.0000 0.0000
0.0000 5.6011 0.0000
-2.8005 -2.8005 8.8712
Ba Ce As I
2 1 2 2
Cartesian
0.0000 0.0000 6.8558
2.8005 2.8005 2.0154
0.0000 0.0000 0.0000
0.0000 2.8005 0.0000
2.8005 0.0000 0.0000
0.0000 0.0000 3.2591
2.8005 2.8005 5.6121
```

Computed properties:
For the size of the total moment, the calculation gives 0.17 μB per formula unit. The value obtained for the total energy is -0.335 Ry/atom. As for the symmetry: No. 139.

---

Entry 7:
DyTmIrPb after structural relaxation. Source: the Alexandria database, functional GGA-PBE.

Geometry as POSCAR:
```
DyTmIrPb
1.0
5.1034 0.0000 0.0000
2.5517 4.4197 0.0000
2.5517 1.4732 4.1669
Pb Ir Tm Dy
1 1 1 1
Cartesian
5.1034 2.9464 2.0834
0.0000 0.0000 0.0000
2.5517 1.4732 1.0417
7.6551 4.4197 3.1252
```

Computed properties:
For the size of the total moment, the calculation gives 0.00 μB per formula unit. As for the symmetry: No. 216. As for the energy of formation: -1.961 eV/f.u.

---

Entry 8:
Mn2MoRh after structural relaxation. Source: the Alexandria database, functional GGA-PBE.

Geometry as POSCAR:
```
Mn2MoRh
1.0
3.6728 0.0000 0.0000
0.0000 3.6728 0.0000
1.8364 1.8364 8.4851
Mo Mn Rh
2 4 2
Cartesian
1.8364 1.8364 0.0000
1.8364 3.6728 4.2425
2.9088 0.9182 2.1213
0.7640 2.7546 2.1213
2.7546 2.6004 6.3638
4.5910 4.7452 6.3638
0.0000 0.0000 0.0000
3.6728 1.8364 4.2425
```

Computed properties:
For the size of the total moment, the calculation gives 0.00 μB per formula unit. As for the symmetry: No. 122. As for the energy of formation: 2.742 eV/f.u.

---

Entry 9:
Rb3As2Se5 after structural relaxation. Source: the Alexandria database, functional GGA-PBE.

Geometry as POSCAR:
```
Rb3As2Se5
1.0
8.2790 0.0000 0.0000
4.1395 10.5585 2.6691
4.1395 5.3753 9.4716
Rb As Se
6 4 10
Cartesian
2.0698 0.0000 0.0000
6.2093 0.0000 0.0000
8.2790 9.7923 9.1156
8.2790 6.1416 3.0252
12.4186 11.3873 7.0222
4.1395 4.5465 5.1186
8.2790 13.4822 10.9199
8.2790 2.4517 1.2208
12.4186 14.1062 10.1010
4.1395 1.8277 2.0398
6.2093 7.9669 6.0704
10.3488 7.9669 6.0704
10.3488 12.7199 9.6919
2.0698 3.2139 2.4488
6.2093 3.2139 2.4488
14.4883 12.7199 9.6919
4.1395 7.7684 3.9739
12.4186 8.1654 8.1669
8.2790 5.8929 6.4353
8.2791 10.0409 5.7054
```

Computed properties:
For the size of the total moment, the calculation gives 0.00 μB per formula unit. The value obtained for the total energy is -0.249 Ry/atom. As for the symmetry: No. 72.

---

Entry 10:
RbBaMn2Br8 after structural relaxation. Source: the Alexandria database, functional GGA-PBE.

Geometry as POSCAR:
```
RbBaMn2Br8
1.0
-5.3477 4.7504 0.2061
-1.3769 -6.8785 -1.4136
-1.2795 -1.8944 10.4640
Rb Ba Mn Br
1 1 2 8
Cartesian
0.0000 0.0000 0.0000
-0.6397 -0.9472 5.2320
-4.3231 0.4314 2.1117
-3.6810 -4.4538 7.1448
-3.9657 -4.8753 9.4733
-2.6909 -1.2952 2.7292
-3.9009 2.5503 3.2774
-4.0384 0.8529 -0.2167
-4.1032 -6.5727 5.9791
-5.3133 -2.7272 6.5274
-1.3707 -3.6829 6.8364
-6.6334 -0.3395 2.4201
```

Computed properties:
For the size of the total moment, the calculation gives 9.00 μB per formula unit. The value obtained for the total energy is -0.300 Ry/atom. As for the symmetry: No. 147.

---

Entry 11:
Cd2NiP after structural relaxation. Source: the Alexandria database, functional GGA-PBE.

Geometry as POSCAR:
```
Cd2NiP
1.0
2.8243 -4.0803 0.0000
2.8243 4.0803 0.0000
0.0000 0.0000 2.9727
Cd Ni P
2 1 1
Cartesian
1.4121 2.0402 0.0000
1.4121 -2.0402 0.0000
2.8243 0.0000 1.4863
0.0000 0.0000 1.4863
```

Computed properties:
For the size of the total moment, the calculation gives 0.00 μB per formula unit. As for the symmetry: No. 65. As for the energy of formation: 1.120 eV/f.u.

---

Entry 12:
BaReSb after structural relaxation. Source: the Alexandria database, functional GGA-PBE.

Geometry as POSCAR:
```
BaReSb
1.0
-1.0842 2.7537 -3.4470
1.8427 -4.0678 -0.8353
-4.7101 -2.0943 -0.1916
Ba Re Sb
1 1 1
Cartesian
-0.0002 -0.0001 0.0000
-2.4638 -0.5673 -2.6722
-1.4878 -2.8410 -1.8017
```

Computed properties:
For the size of the total moment, the calculation gives 0.00 μB per formula unit. The value obtained for the total energy is -0.428 Ry/atom. As for the symmetry: No. 187.